Record 1
Cs3Tb2I9 | PBE | relaxed

Geometry as POSCAR:
```
Cs3Tb2I9
1.0
7.450 4.301 7.260
-7.450 4.301 7.260
0.000 -8.602 7.260
Cs Tb I
6 4 18
Direct
0.088 0.750 0.412 Cs
0.250 0.588 0.912 Cs
0.412 0.088 0.750 Cs
0.588 0.912 0.250 Cs
0.750 0.412 0.088 Cs
0.912 0.250 0.588 Cs
0.155 0.155 0.155 Tb
0.345 0.345 0.345 Tb
0.655 0.655 0.655 Tb
0.845 0.845 0.845 Tb
0.082 0.916 0.733 I
0.084 0.267 0.918 I
0.091 0.409 0.250 I
0.233 0.416 0.582 I
0.250 0.091 0.409 I
0.267 0.918 0.084 I
0.409 0.250 0.091 I
0.416 0.582 0.233 I
0.418 0.767 0.584 I
0.582 0.233 0.416 I
0.584 0.418 0.767 I
0.591 0.750 0.909 I
0.733 0.082 0.916 I
0.750 0.909 0.591 I
0.767 0.584 0.418 I
0.909 0.591 0.750 I
0.916 0.733 0.082 I
0.918 0.084 0.267 I
```

## Properties
- space-group type = R-3c (167)
- D(E_F) (states/eV per cell) = 0.0
- total DFT energy (no corrections) (eV per atom) = -3.335

Record 2
CsTbTlI6 | PBE | relaxed

Geometry as POSCAR:
```
CsTbTlI6
1.0
8.258 0.000 0.000
-4.129 7.152 0.000
0.000 0.000 8.285
Cs Tb Tl I
1 1 1 6
Direct
0.000 0.000 0.000 Cs
0.333 0.667 0.500 Tb
0.667 0.333 0.500 Tl
0.018 0.396 0.723 I
0.018 0.622 0.277 I
0.378 0.396 0.277 I
0.378 0.982 0.723 I
0.604 0.622 0.723 I
0.604 0.982 0.277 I
```

## Properties
- space-group type = P312 (149)
- D(E_F) (states/eV per cell) = 5.8
- total DFT energy (no corrections) (eV per atom) = -2.984

Record 3
CsTbVI6 | PBE | relaxed

Geometry as POSCAR:
```
CsTbVI6
1.0
7.634 0.000 0.000
-3.817 6.611 0.000
0.000 0.000 8.847
Cs Tb V I
1 1 1 6
Direct
0.000 0.000 0.000 Cs
0.667 0.333 0.500 Tb
0.333 0.667 0.500 V
0.018 0.375 0.691 I
0.018 0.643 0.309 I
0.357 0.375 0.309 I
0.357 0.982 0.691 I
0.625 0.643 0.691 I
0.625 0.982 0.309 I
```

## Properties
- space-group type = P312 (149)
- total DFT energy (no corrections) (eV per atom) = -3.764

Record 4
CsTbZnI6 | PBE | relaxed

Geometry as POSCAR:
```
CsTbZnI6
1.0
7.697 0.000 0.000
-3.849 6.666 0.000
0.000 0.000 8.779
Cs Tb Zn I
1 1 1 6
Direct
0.000 0.000 0.000 Cs
0.333 0.667 0.500 Tb
0.667 0.333 0.500 Zn
0.378 0.015 0.695 I
0.378 0.362 0.305 I
0.638 0.015 0.305 I
0.638 0.622 0.695 I
0.985 0.362 0.695 I
0.985 0.622 0.305 I
```

## Properties
- space-group type = P312 (149)
- D(E_F) (states/eV per cell) = 0.0
- total DFT energy (no corrections) (eV per atom) = -2.896

Record 5
Cs2TcI6 | PBE | relaxed

Geometry as POSCAR:
```
Cs2TcI6
1.0
0.000 5.892 5.892
5.892 0.000 5.892
5.892 5.892 0.000
Cs Tc I
2 1 6
Direct
0.250 0.250 0.250 Cs
0.750 0.750 0.750 Cs
0.000 0.000 0.000 Tc
0.234 0.234 0.766 I
0.234 0.766 0.234 I
0.234 0.766 0.766 I
0.766 0.234 0.234 I
0.766 0.234 0.766 I
0.766 0.766 0.234 I
```

## Properties
- space-group type = Fm-3m (225)
- total DFT energy (no corrections) (eV per atom) = -3.156

Record 6
Cs3TcI7 | PBE | relaxed

Geometry as POSCAR:
```
Cs3TcI7
1.0
5.358 -5.590 0.000
5.358 5.590 0.000
-2.652 0.000 9.526
Cs Tc I
3 1 7
Direct
0.000 0.000 0.000 Cs
0.333 0.793 0.549 Cs
0.793 0.333 0.549 Cs
0.480 0.480 0.057 Tc
0.142 0.486 0.910 I
0.352 0.352 0.272 I
0.468 0.819 0.195 I
0.486 0.142 0.910 I
0.613 0.613 0.853 I
0.819 0.468 0.195 I
0.861 0.861 0.600 I
```

## Properties
- space-group type = Cm (8)
- total DFT energy (no corrections) (eV per atom) = -3.021

Record 7
Cs3TcI | PBE | relaxed

Geometry as POSCAR:
```
Cs3TcI
1.0
5.950 0.000 0.000
0.000 5.950 0.000
0.000 0.000 5.950
Cs Tc I
3 1 1
Direct
0.000 0.000 0.500 Cs
0.000 0.500 0.000 Cs
0.500 0.000 0.000 Cs
0.000 0.000 0.000 Tc
0.500 0.500 0.500 I
```

## Properties
- space-group type = Pm-3m (221)
- D(E_F) (states/eV per cell) = 2.7
- energy above the lowest structure with this stoichiometry (eV per atom) = 0.000

Record 8
CsTc3I | PBE | relaxed

Geometry as POSCAR:
```
CsTc3I
1.0
5.073 0.000 0.000
0.000 5.073 0.000
0.000 0.000 5.073
Cs Tc I
1 3 1
Direct
0.000 0.000 0.000 Cs
0.000 0.500 0.500 Tc
0.500 0.000 0.500 Tc
0.500 0.500 0.000 Tc
0.500 0.500 0.500 I
```

## Properties
- space-group type = Pm-3m (221)
- D(E_F) (states/eV per cell) = 4.3
- energy above the lowest structure with this stoichiometry (eV per atom) = 0.000

Record 9
CsTcI2 | PBE | relaxed

Geometry as POSCAR:
```
CsTcI2
1.0
0.000 4.197 4.197
4.197 0.000 4.197
4.197 4.197 0.000
Cs Tc I
1 1 2
Direct
0.000 0.000 0.000 Cs
0.500 0.500 0.500 Tc
0.250 0.250 0.250 I
0.750 0.750 0.750 I
```

## Properties
- space-group type = Fm-3m (225)
- D(E_F) (states/eV per cell) = 8.1
- total DFT energy (no corrections) (eV per atom) = -3.201

Record 10
CsTcI4 | PBE | relaxed

Geometry as POSCAR:
```
CsTcI4
1.0
10.434 -4.092 0.000
10.434 4.092 0.000
-2.412 0.000 7.022
Cs Tc I
2 2 8
Direct
0.214 0.214 0.250 Cs
0.786 0.786 0.750 Cs
0.422 0.422 0.737 Tc
0.578 0.578 0.263 Tc
0.150 0.629 0.476 I
0.274 0.726 0.000 I
0.302 0.302 0.842 I
0.371 0.850 0.524 I
0.629 0.150 0.476 I
0.698 0.698 0.158 I
0.726 0.274 0.000 I
0.850 0.371 0.524 I
```

## Properties
- space-group type = C2/m (12)
- D(E_F) (states/eV per cell) = 0.5
- total DFT energy (no corrections) (eV per atom) = -3.356

Record 11
CsTc3I | PBE | relaxed

Geometry as POSCAR:
```
CsTc3I
1.0
5.130 0.000 0.000
0.000 5.130 0.000
0.000 0.000 5.130
Cs Tc I
1 3 1
Direct
0.000 0.000 0.000 Cs
0.000 0.000 0.500 Tc
0.000 0.500 0.000 Tc
0.500 0.000 0.000 Tc
0.500 0.500 0.500 I
```

## Properties
- space-group type = Pm-3m (221)
- D(E_F) (states/eV per cell) = 5.3
- energy above the lowest structure with this stoichiometry (eV per atom) = 1.005

Record 12
CsTcI5 | PBE | relaxed

Geometry as POSCAR:
```
CsTcI5
1.0
6.124 -7.607 0.000
6.124 7.607 0.000
-4.782 0.000 6.926
Cs Tc I
2 2 10
Direct
0.121 0.879 0.750 Cs
0.879 0.121 0.250 Cs
0.000 0.500 0.000 Tc
0.500 0.000 0.500 Tc
0.158 0.503 0.789 I
0.172 0.828 0.250 I
0.211 0.412 0.209 I
0.412 0.211 0.709 I
0.497 0.842 0.711 I
0.503 0.158 0.289 I
0.588 0.789 0.291 I
0.789 0.588 0.791 I
0.828 0.172 0.750 I
0.842 0.497 0.211 I
```

## Properties
- space-group type = C2/c (15)
- D(E_F) (states/eV per cell) = 0.2
- total DFT energy (no corrections) (eV per atom) = -3.182

Record 13
CsTcTe2I | PBE | relaxed

Geometry as POSCAR:
```
CsTcTe2I
1.0
5.272 0.000 0.000
0.000 5.272 0.000
0.000 0.000 6.177
Cs Tc Te I
1 1 2 1
Direct
0.000 0.000 0.000 Cs
0.500 0.500 0.500 Tc
0.000 0.500 0.500 Te
0.500 0.000 0.500 Te
0.500 0.500 0.000 I
```

## Properties
- space-group type = P4/mmm (123)
- D(E_F) (states/eV per cell) = 4.4
- energy above the lowest structure with this stoichiometry (eV per atom) = 0.000

Record 14
CsTc2TeI | PBE | relaxed

Geometry as POSCAR:
```
CsTc2TeI
1.0
5.269 0.000 0.000
0.000 5.269 0.000
0.000 0.000 6.838
Cs Tc Te I
1 2 1 1
Direct
0.000 0.000 0.000 Cs
0.000 0.500 0.500 Tc
0.500 0.000 0.500 Tc
0.500 0.500 0.000 Te
0.000 0.000 0.500 I
```

## Properties
- space-group type = P4/mmm (123)
- D(E_F) (states/eV per cell) = 5.6
- total DFT energy (no corrections) (eV per atom) = -3.838

Record 15
CsTcTe2I | PBE | relaxed

Geometry as POSCAR:
```
CsTcTe2I
1.0
6.208 0.000 0.000
0.000 6.208 0.000
0.000 0.000 6.860
Cs Tc Te I
1 1 2 1
Direct
0.000 0.000 0.000 Cs
0.500 0.500 0.500 Tc
0.000 0.500 0.000 Te
0.500 0.000 0.000 Te
0.000 0.000 0.500 I
```

## Properties
- space-group type = P4/mmm (123)
- D(E_F) (states/eV per cell) = 4.4
- energy above the lowest structure with this stoichiometry (eV per atom) = 1.700

Record 16
Cs2TlTcI6 | PBE | relaxed

Geometry as POSCAR:
```
Cs2TlTcI6
1.0
0.000 6.108 6.108
6.108 0.000 6.108
6.108 6.108 0.000
Cs Tl Tc I
2 1 1 6
Direct
0.250 0.250 0.250 Cs
0.750 0.750 0.750 Cs
0.000 0.000 0.000 Tl
0.500 0.500 0.500 Tc
0.274 0.274 0.726 I
0.274 0.726 0.274 I
0.274 0.726 0.726 I
0.726 0.274 0.274 I
0.726 0.274 0.726 I
0.726 0.726 0.274 I
```

## Properties
- space-group type = Fm-3m (225)
- D(E_F) (states/eV per cell) = 9.8
- total DFT energy (no corrections) (eV per atom) = -3.101

Record 17
Cs2VTcI6 | PBE | relaxed

Geometry as POSCAR:
```
Cs2VTcI6
1.0
0.000 5.856 5.856
5.856 0.000 5.856
5.856 5.856 0.000
Cs V Tc I
2 1 1 6
Direct
0.250 0.250 0.250 Cs
0.750 0.750 0.750 Cs
0.000 0.000 0.000 V
0.500 0.500 0.500 Tc
0.247 0.247 0.753 I
0.247 0.753 0.247 I
0.247 0.753 0.753 I
0.753 0.247 0.247 I
0.753 0.247 0.753 I
0.753 0.753 0.247 I
```

## Properties
- space-group type = Fm-3m (225)
- D(E_F) (states/eV per cell) = 2.5
- total DFT energy (no corrections) (eV per atom) = -3.626

Record 18
CsTeI4 | PBE | relaxed

Geometry as POSCAR:
```
CsTeI4
1.0
5.998 -3.250 0.000
5.998 3.250 0.000
-4.172 0.000 8.468
Cs Te I
1 1 4
Direct
0.000 0.000 0.000 Cs
0.500 0.500 0.500 Te
0.252 0.252 0.499 I
0.380 0.380 0.148 I
0.620 0.620 0.852 I
0.748 0.748 0.501 I
```

## Properties
- space-group type = C2/m (12)
- D(E_F) (states/eV per cell) = 2.0
- energy above the lowest structure with this stoichiometry (eV per atom) = 0.000

Record 19
CsTe2I4 | PBE | relaxed

Geometry as POSCAR:
```
CsTe2I4
1.0
9.452 0.000 0.000
-0.071 9.456 0.000
-4.685 -4.733 10.424
Cs Te I
2 4 8
Direct
0.000 0.000 0.000 Cs
0.251 0.751 0.501 Cs
0.240 0.379 0.784 Te
0.542 0.410 0.787 Te
0.596 0.456 0.217 Te
0.623 0.756 0.215 Te
0.122 0.654 0.746 I
0.228 0.081 0.803 I
0.280 0.425 0.200 I
0.346 0.871 0.249 I
0.572 0.727 0.807 I
0.622 0.099 0.750 I
0.908 0.377 0.252 I
0.921 0.770 0.197 I
```

## Properties
- space-group type = P1 (1)
- D(E_F) (states/eV per cell) = 2.8
- total DFT energy (no corrections) (eV per atom) = -2.312

Record 20
Cs2TeI6 | PBE | relaxed

Geometry as POSCAR:
```
Cs2TeI6
1.0
8.353 0.000 0.000
0.000 8.353 0.000
0.000 0.000 16.148
Cs Te I
4 2 12
Direct
0.000 0.000 0.166 Cs
0.000 0.000 0.834 Cs
0.500 0.500 0.334 Cs
0.500 0.500 0.666 Cs
0.000 0.000 0.500 Te
0.500 0.500 0.000 Te
0.176 0.176 0.368 I
0.176 0.176 0.632 I
0.248 0.248 0.000 I
0.252 0.748 0.500 I
0.324 0.676 0.132 I
0.324 0.676 0.868 I
0.676 0.324 0.132 I
0.676 0.324 0.868 I
0.748 0.252 0.500 I
0.752 0.752 0.000 I
0.824 0.824 0.368 I
0.824 0.824 0.632 I
```

## Properties
- space-group type = P4_2/mnm (136)
- D(E_F) (states/eV per cell) = 0.0
- total DFT energy (no corrections) (eV per atom) = -2.300

Record 21
Cs3TeI6 | PBE | relaxed

Geometry as POSCAR:
```
Cs3TeI6
1.0
-4.781 4.781 6.539
4.781 -4.781 6.539
4.781 4.781 -6.539
Cs Te I
3 1 6
Direct
0.000 0.000 0.000 Cs
0.250 0.750 0.500 Cs
0.750 0.250 0.500 Cs
0.500 0.500 0.000 Te
0.266 0.266 0.533 I
0.266 0.734 0.000 I
0.276 0.276 0.000 I
0.724 0.724 0.000 I
0.734 0.266 0.000 I
0.734 0.734 0.467 I
```

## Properties
- space-group type = I4/mmm (139)
- D(E_F) (states/eV per cell) = 6.3
- energy above the lowest structure with this stoichiometry (eV per atom) = 0.066

Record 22
Cs2TeI4 | PBE | relaxed

Geometry as POSCAR:
```
Cs2TeI4
1.0
-3.237 3.237 9.272
3.237 -3.237 9.272
3.237 3.237 -9.272
Cs Te I
2 1 4
Direct
0.129 0.129 0.000 Cs
0.871 0.871 0.000 Cs
0.500 0.500 0.000 Te
0.000 0.500 0.500 I
0.339 0.339 0.000 I
0.500 0.000 0.500 I
0.661 0.661 0.000 I
```

## Properties
- space-group type = I4/mmm (139)
- D(E_F) (states/eV per cell) = 2.6
- energy above the lowest structure with this stoichiometry (eV per atom) = 0.063

Record 23
CsTe2I | PBE | relaxed

Geometry as POSCAR:
```
CsTe2I
1.0
2.883 1.664 6.731
-2.883 1.664 6.731
0.000 -3.329 6.731
Cs Te I
1 2 1
Direct
0.000 0.000 0.000 Cs
0.181 0.181 0.181 Te
0.819 0.819 0.819 Te
0.500 0.500 0.500 I
```

## Properties
- space-group type = R-3m (166)
- D(E_F) (states/eV per cell) = 2.7
- energy above the lowest structure with this stoichiometry (eV per atom) = 0.000

Theoretical density per entry: 4.4, 4.3, 4.1, 4.1, 4.6, 4.0, 4.9, 7.0, 5.4, 4.1, 6.8, 4.5, 5.9, 5.1, 3.9, 4.8, 4.9, 3.9, 3.2, 3.4, 3.6, 3.8, 4.4 g cm⁻³